Crystalline TiNbW2F at its relaxed geometry, computed with PBE with a Hubbard U.

Properties
* VASP energy: -5.13 eV per atom
* theoretical density: 6.73 g cm⁻³

Lattice parameters (Å, degrees): 5.2391 5.2391 4.7443 90.00 90.00 90.00
Closest atoms and distances in Å follow each position.
Atoms (fractional coordinates):
1 Ti 0.0000 0.0000 0.0000  2 Nb 2.37
2 Nb 0.0000 0.0000 0.5000  2 Ti 2.37, 4 W 2.62
3 W 0.0000 0.5000 0.5000  2 Nb 2.62
4 W 0.5000 0.0000 0.5000  2 Nb 2.62
5 F 0.5000 0.5000 0.0000  8 W 3.53, 4 Ti 3.70